Record 1
! LiSb2O GGA-PBE relaxed; values from VASP
&SYSTEM
  ibrav = 0, nat = 8, ntyp = 3
/
ATOMIC_SPECIES
Li 6.94 Li.upf
Sb 121.76 Sb.upf
O 16.00 O.upf
ATOMIC_POSITIONS crystal
Li 0.1846 0.3671 0.0393
Li 0.8154 0.6329 0.9607
Sb 0.3782 0.7547 0.4080
Sb 0.4899 0.9755 0.7905
Sb 0.5101 0.0245 0.2095
Sb 0.6218 0.2453 0.5920
O 0.3635 0.7295 0.0534
O 0.6365 0.2705 0.9466
CELL_PARAMETERS angstrom
3.2641 0.0000 0.0000
-1.6088 5.4908 0.0000
-0.0227 -2.9689 10.2697
! - Total energy: -4.649 eV per atom
! - Magnetization: 0.0 μB/cell
! - Raw formation energy: -0.87 eV/atom
! - Calculated density: 4.8 Mg/m³

=====

Record 2
! LiSb2O GGA-PBE relaxed; values from VASP
&SYSTEM
  ibrav = 0, nat = 4, ntyp = 3
/
ATOMIC_SPECIES
Li 6.94 Li.upf
Sb 121.76 Sb.upf
O 16.00 O.upf
ATOMIC_POSITIONS crystal
Li 0.0000 0.0000 0.0000
Sb 0.2847 0.2912 0.2929
Sb 0.7442 0.7535 0.6601
O 0.3226 0.3246 0.0697
CELL_PARAMETERS angstrom
3.2306 0.0000 0.0000
1.5762 2.8206 0.0000
0.8017 0.4248 8.8576
! - Total energy: -4.576 eV per atom
! - Magnetization: 0.0 μB/cell
! - Raw formation energy: -0.80 eV/atom
! - Calculated density: 5.5 Mg/m³